Here is an optimized crystal structure of MnCuSe2 from Alexandria. Energies are from PBE.

a = 7.399 Å, b = 7.444 Å, c = 4.010 Å
α = 66.46°, β = 73.88°, γ = 52.90°
Site moments in Bohr magnetons follow the coordinates.
Sites, in units of the cell vectors:
1 Mn 0.332 0.856 0.184  3.86
2 Mn 0.546 0.168 0.103  3.75
3 Se 0.305 0.213 0.699  -0.04
4 Se 0.366 0.613 0.845  -0.03
5 Se 0.888 0.139 0.219  -0.02
6 Se 0.748 0.725 0.235  -0.06
7 Cu 0.904 0.492 0.827  -0.06
8 Cu 0.965 0.894 0.855  0.01

Values from the calculation:
E in eV/atom: -5.3476
Formation energy from raw total energies in eV/atom: -0.2889
Space-group type: P1 (1)
Fermi-level density of states in states/eV/atom: 0.293
Size of the total moment in μB per atom: 1.000